Entry 1:
Density functional theory data (PBE) for a relaxed Rb2In4AgAu3 crystal.

Computed properties:
* crystal system: tetragonal
* DOS(E_F): 0.54 states/eV/atom
* M_tot: 0.00 μB per formula unit

Cell lengths 5.0459, 5.0459, 11.0899 Å; angles 90.00, 90.00, 90.00 degrees
Space group P-4m2 (No. 115)
One atom of each set of equivalent atoms:
Rb  0.0000  0.5000  0.2424 [2 per cell]
In  0.0000  0.0000  0.5000 [1 per cell]
In  0.0000  0.5000  0.8801 [2 per cell]
In  0.5000  0.5000  0.5000 [1 per cell]
Ag  0.5000  0.5000  0.0000 [1 per cell]
Au  0.0000  0.0000  0.0000 [1 per cell]
Au  0.0000  0.5000  0.6258 [2 per cell]



Entry 2:
Density functional theory data (PBE) for a relaxed InAgRh2Au crystal.

Computed properties:
* crystal system: tetragonal
* DOS(E_F): 1.59 states/eV/atom
* M_tot: 0.04 μB per formula unit

Cell lengths 4.8760, 4.8760, 4.9208 Å; angles 90.00, 90.00, 90.00 degrees
Space group P4/mmm (No. 123)
One atom of each set of equivalent atoms:
In  0.0000  0.0000  0.0000 [1 per cell]
Ag  0.0000  0.0000  0.5000 [1 per cell]
Rh  0.0000  0.5000  0.5000 [2 per cell]
Au  0.5000  0.5000  0.0000 [1 per cell]



Entry 3:
Density functional theory data (PBE) for a relaxed InAg2RuAu crystal.

Computed properties:
* crystal system: tetragonal
* DOS(E_F): 0.66 states/eV/atom
* M_tot: 2.37 μB per formula unit

Cell lengths 5.1069, 5.1069, 5.0516 Å; angles 90.00, 90.00, 90.00 degrees
Space group P4/mmm (No. 123)
One atom of each set of equivalent atoms:
In  0.0000  0.0000  0.0000 [1 per cell]
Ag  0.0000  0.5000  0.5000 [2 per cell]
Ru  0.5000  0.5000  0.0000 [1 per cell]
Au  0.5000  0.5000  0.5000 [1 per cell]



| no. | formation energy (eV/atom) |
| --- | --- |
| 1 | -0.223 |
| 2 | 1.263 |
| 3 | 1.019 |